No. 1
DFT (PBE-GGA) results for an optimized crystal structure of RbLa2MgRh.

Lattice parameters (Å, degrees): 5.9453 5.9453 5.7722 90.00 90.00 90.00
Fractional coordinates of all 5 atoms:
Rb 0.0000 0.0000 0.0000
La 0.0000 0.5000 0.5000
La 0.5000 0.0000 0.5000
Mg 0.0000 0.0000 0.5000
Rh 0.5000 0.5000 0.0000

DOS(E_F)   5.299 states/eV per cell
ΔH_f (0 K)   111.5 kJ per mole of atoms
Total magnetic moment   0.655 μB per cell

No. 2
DFT (PBE-GGA) results for an optimized crystal structure of RbLa2MgRh.

Lattice parameters (Å, degrees): 5.6131 5.6131 5.5843 90.00 90.00 90.00
Fractional coordinates of all 5 atoms:
Rb 0.0000 0.0000 0.0000
La 0.0000 0.5000 0.5000
La 0.5000 0.0000 0.5000
Mg 0.5000 0.5000 0.0000
Rh 0.5000 0.5000 0.5000

DOS(E_F)   5.050 states/eV per cell
ΔH_f (0 K)   -14.1 kJ per mole of atoms
Total magnetic moment   0.003 μB per cell

No. 3
DFT (PBE-GGA) results for an optimized crystal structure of RbLa2MgRu.

Lattice parameters (Å, degrees): 5.5049 5.5049 5.7041 90.00 90.00 90.00
Fractional coordinates of all 5 atoms:
Rb 0.0000 0.0000 0.0000
La 0.0000 0.5000 0.5000
La 0.5000 0.0000 0.5000
Mg 0.5000 0.5000 0.0000
Ru 0.5000 0.5000 0.5000

DOS(E_F)   3.826 states/eV per cell
ΔH_f (0 K)   0.7 kJ per mole of atoms
Total magnetic moment   0.000 μB per cell

No. 4
DFT (PBE-GGA) results for an optimized crystal structure of Rb3La2MgS6.

Lattice parameters (Å, degrees): 7.2768 7.2768 8.0692 98.65 98.65 120.04
Fractional coordinates of all 12 atoms:
Rb 0.0000 0.0000 0.0000
Rb 0.3332 0.6668 0.0000
Rb 0.6668 0.3332 0.0000
La 0.1666 0.8334 0.5000
La 0.8334 0.1666 0.5000
Mg 0.5000 0.5000 0.5000
S 0.1173 0.4354 0.3061
S 0.2466 0.2466 0.6937
S 0.4354 0.1173 0.3061
S 0.5646 0.8827 0.6939
S 0.7534 0.7534 0.3063
S 0.8827 0.5646 0.6939

DOS(E_F)   20.506 states/eV per cell
ΔE_f (raw)   -1521 meV per atom
Total magnetic moment   0.000 μB per cell

No. 5
DFT (PBE-GGA) results for an optimized crystal structure of RbLa2MgSc.

Lattice parameters (Å, degrees): 6.1075 6.1075 5.6871 90.00 90.00 90.00
Fractional coordinates of all 5 atoms:
Rb 0.0000 0.0000 0.0000
La 0.0000 0.5000 0.5000
La 0.5000 0.0000 0.5000
Mg 0.5000 0.5000 0.5000
Sc 0.5000 0.5000 0.0000

DOS(E_F)   8.580 states/eV per cell
ΔH_f (0 K)   62.9 kJ per mole of atoms
Total magnetic moment   0.002 μB per cell

No. 6
DFT (PBE-GGA) results for an optimized crystal structure of RbLaMgSe3.

Lattice parameters (Å, degrees): 9.5464 4.4386 10.3438 90.00 105.66 90.00
Fractional coordinates of all 12 atoms:
Rb 0.1974 0.2500 0.2206
Rb 0.8026 0.7500 0.7794
La 0.3335 0.7500 0.8562
La 0.6665 0.2500 0.1438
Mg 0.0834 0.2500 0.6051
Mg 0.9166 0.7500 0.3949
Se 0.1166 0.2500 0.8570
Se 0.1910 0.7500 0.5344
Se 0.4574 0.7500 0.1524
Se 0.5426 0.2500 0.8476
Se 0.8090 0.2500 0.4656
Se 0.8834 0.7500 0.1430

DOS(E_F)   0.000 states/eV per cell
ΔE_f (raw)   -1600 meV per atom
Total magnetic moment   0.000 μB per cell

No. 7
DFT (PBE-GGA) results for an optimized crystal structure of Rb3La2MgSe6.

Lattice parameters (Å, degrees): 7.5500 7.5500 8.4146 98.63 98.63 120.02
Fractional coordinates of all 12 atoms:
Rb 0.0000 0.0000 0.0000
Rb 0.3318 0.6682 0.0000
Rb 0.6682 0.3318 0.0000
La 0.1664 0.8336 0.5000
La 0.8336 0.1664 0.5000
Mg 0.5000 0.5000 0.5000
Se 0.1158 0.4344 0.3032
Se 0.2474 0.2474 0.6976
Se 0.4344 0.1158 0.3032
Se 0.5656 0.8842 0.6968
Se 0.7526 0.7526 0.3024
Se 0.8842 0.5656 0.6968

DOS(E_F)   16.806 states/eV per cell
ΔE_f (raw)   -1469 meV per atom
Total magnetic moment   0.000 μB per cell

No. 8
DFT (PBE-GGA) results for an optimized crystal structure of RbLaMgSe2.

Lattice parameters (Å, degrees): 5.8390 5.8390 5.1697 90.00 90.00 90.00
Fractional coordinates of all 5 atoms:
Rb 0.0000 0.0000 0.0000
La 0.5000 0.5000 0.5000
Mg 0.0000 0.0000 0.5000
Se 0.0000 0.5000 0.0000
Se 0.5000 0.0000 0.0000

DOS(E_F)   1.143 states/eV per cell
ΔE_f (raw)   108 meV per atom
Total magnetic moment   0.000 μB per cell

No. 9
DFT (PBE-GGA) results for an optimized crystal structure of RbLa2MgSn.

Lattice parameters (Å, degrees): 6.0847 6.0847 5.4809 90.00 90.00 90.00
Fractional coordinates of all 5 atoms:
Rb 0.0000 0.0000 0.0000
La 0.0000 0.5000 0.5000
La 0.5000 0.0000 0.5000
Mg 0.5000 0.5000 0.5000
Sn 0.5000 0.5000 0.0000

DOS(E_F)   10.322 states/eV per cell
ΔH_f (0 K)   31.2 kJ per mole of atoms
Total magnetic moment   0.000 μB per cell

No. 10
DFT (PBE-GGA) results for an optimized crystal structure of RbLa2MgSn.

Lattice parameters (Å, degrees): 6.1354 6.1354 6.7857 90.00 90.00 90.00
Fractional coordinates of all 5 atoms:
Rb 0.0000 0.0000 0.0000
La 0.0000 0.5000 0.5000
La 0.5000 0.0000 0.5000
Mg 0.5000 0.5000 0.0000
Sn 0.0000 0.0000 0.5000

DOS(E_F)   5.604 states/eV per cell
ΔH_f (0 K)   27.8 kJ per mole of atoms
Total magnetic moment   0.000 μB per cell

No. 11
DFT (PBE-GGA) results for an optimized crystal structure of Rb3La2MgTe6.

Lattice parameters (Å, degrees): 8.0104 8.0104 9.0308 98.54 98.54 120.11
Fractional coordinates of all 12 atoms:
Rb 0.0000 0.0000 0.0000
Rb 0.3293 0.6707 0.0000
Rb 0.6707 0.3293 0.0000
La 0.1660 0.8340 0.5000
La 0.8340 0.1660 0.5000
Mg 0.5000 0.5000 0.5000
Te 0.1148 0.4334 0.2994
Te 0.2492 0.2492 0.7028
Te 0.4334 0.1148 0.2994
Te 0.5666 0.8852 0.7006
Te 0.7508 0.7508 0.2972
Te 0.8852 0.5666 0.7006

DOS(E_F)   13.074 states/eV per cell
ΔE_f (raw)   -1194 meV per atom
Total magnetic moment   0.000 μB per cell

No. 12
DFT (PBE-GGA) results for an optimized crystal structure of Rb4La3MgTe8.

Lattice parameters (Å, degrees): 10.1459 10.1459 10.1459 54.68 54.68 54.68
Fractional coordinates of all 16 atoms:
Rb 0.0000 0.0000 0.0000
Rb 0.0000 0.5000 0.5000
Rb 0.5000 0.0000 0.5000
Rb 0.5000 0.5000 0.0000
La 0.0000 0.0000 0.5000
La 0.0000 0.5000 0.0000
La 0.5000 0.0000 0.0000
Mg 0.5000 0.5000 0.5000
Te 0.2365 0.2365 0.2365
Te 0.2463 0.7270 0.7270
Te 0.2730 0.2730 0.7537
Te 0.2730 0.7537 0.2730
Te 0.7270 0.2463 0.7270
Te 0.7270 0.7270 0.2463
Te 0.7537 0.2730 0.2730
Te 0.7635 0.7635 0.7635

DOS(E_F)   16.861 states/eV per cell
ΔE_f (raw)   -1265 meV per atom
Total magnetic moment   0.000 μB per cell

No. 13
DFT (PBE-GGA) results for an optimized crystal structure of RbLaMgTe3.

Lattice parameters (Å, degrees): 10.1056 4.6911 10.9852 90.00 106.86 90.00
Fractional coordinates of all 12 atoms:
Rb 0.2061 0.2500 0.2317
Rb 0.7939 0.7500 0.7683
La 0.3280 0.7500 0.8602
La 0.6720 0.2500 0.1398
Mg 0.0831 0.2500 0.6063
Mg 0.9169 0.7500 0.3937
Te 0.1060 0.2500 0.8633
Te 0.2039 0.7500 0.5350
Te 0.4622 0.7500 0.1620
Te 0.5378 0.2500 0.8380
Te 0.7961 0.2500 0.4650
Te 0.8940 0.7500 0.1367

DOS(E_F)   0.000 states/eV per cell
ΔE_f (raw)   -1273 meV per atom
Total magnetic moment   0.000 μB per cell

No. 14
DFT (PBE-GGA) results for an optimized crystal structure of RbLa2MgZr.

Lattice parameters (Å, degrees): 5.6310 5.6310 5.3362 90.00 90.00 90.00
Fractional coordinates of all 5 atoms:
Rb 0.0000 0.0000 0.0000
La 0.0000 0.5000 0.0000
La 0.5000 0.0000 0.0000
Mg 0.0000 0.0000 0.5000
Zr 0.5000 0.5000 0.5000

DOS(E_F)   5.930 states/eV per cell
ΔH_f (0 K)   130.7 kJ per mole of atoms
Total magnetic moment   0.003 μB per cell

No. 15
DFT (PBE-GGA) results for an optimized crystal structure of La4MgRe.

Lattice parameters (Å, degrees): 8.2972 8.2972 6.3859 100.79 100.79 110.89
Fractional coordinates of all 12 atoms:
La 0.0573 0.7264 0.9441
La 0.1950 0.3575 0.6292
La 0.2736 0.9427 0.5559
La 0.3575 0.1950 0.1292
La 0.6425 0.8050 0.8708
La 0.7264 0.0573 0.4441
La 0.8050 0.6425 0.3708
La 0.9427 0.2736 0.0559
Mg 0.3798 0.6202 0.2500
Mg 0.6202 0.3798 0.7500
Re 0.0010 0.9990 0.2500
Re 0.9990 0.0010 0.7500

DOS(E_F)   12.932 states/eV per cell
ΔH_f (0 K)   0.3 kJ per mole of atoms
Total magnetic moment   0.000 μB per cell

No. 16
DFT (PBE-GGA) results for an optimized crystal structure of LaMgRe4.

Lattice parameters (Å, degrees): 5.4207 5.4207 5.4207 60.00 60.00 60.00
Fractional coordinates of all 6 atoms:
La 0.0000 0.0000 0.0000
Mg 0.7500 0.7500 0.7500
Re 0.3755 0.3755 0.3755
Re 0.3755 0.3755 0.8736
Re 0.3755 0.8736 0.3755
Re 0.8736 0.3755 0.3755

DOS(E_F)   3.972 states/eV per cell
ΔH_f (0 K)   19.5 kJ per mole of atoms
Total magnetic moment   0.002 μB per cell

No. 17
DFT (PBE-GGA) results for an optimized crystal structure of La2MgRe.

Lattice parameters (Å, degrees): 3.9591 4.7476 6.0781 90.00 108.37 90.00
Fractional coordinates of all 4 atoms:
La 0.0000 0.0000 0.0000
La 0.2790 0.5000 0.5735
Mg 0.5784 0.5000 0.1595
Re 0.7001 0.0000 0.4156

DOS(E_F)   3.967 states/eV per cell
ΔH_f (0 K)   30.9 kJ per mole of atoms
Total magnetic moment   0.000 μB per cell

No. 18
DFT (PBE-GGA) results for an optimized crystal structure of La4MgRe.

Lattice parameters (Å, degrees): 6.2711 6.2711 6.2711 60.00 60.00 60.00
Fractional coordinates of all 6 atoms:
La 0.3768 0.3768 0.3768
La 0.3768 0.3768 0.8696
La 0.3768 0.8696 0.3768
La 0.8696 0.3768 0.3768
Mg 0.0000 0.0000 0.0000
Re 0.7500 0.7500 0.7500

DOS(E_F)   9.820 states/eV per cell
ΔH_f (0 K)   85.8 kJ per mole of atoms
Total magnetic moment   0.001 μB per cell

No. 19
DFT (PBE-GGA) results for an optimized crystal structure of La2MgRe.

Lattice parameters (Å, degrees): 10.5850 10.5850 10.5850 19.23 19.23 19.23
Fractional coordinates of all 4 atoms:
La 0.2356 0.2356 0.2356
La 0.7644 0.7644 0.7644
Mg 0.0000 0.0000 0.0000
Re 0.5000 0.5000 0.5000

DOS(E_F)   4.418 states/eV per cell
ΔH_f (0 K)   41.1 kJ per mole of atoms
Total magnetic moment   0.000 μB per cell

No. 20
DFT (PBE-GGA) results for an optimized crystal structure of LaMgRe2.

Lattice parameters (Å, degrees): 6.1877 6.1877 6.1877 100.78 100.78 128.75
Fractional coordinates of all 8 atoms:
La 0.0000 0.0000 0.0000
La 0.7500 0.2500 0.5000
Mg 0.2500 0.7500 0.5000
Mg 0.5000 0.5000 0.0000
Re 0.1555 0.1250 0.5305
Re 0.3750 0.8445 0.9695
Re 0.5945 0.6250 0.4695
Re 0.8750 0.4055 0.0305

DOS(E_F)   5.912 states/eV per cell
ΔH_f (0 K)   107.9 kJ per mole of atoms
Total magnetic moment   0.000 μB per cell

No. 21
DFT (PBE-GGA) results for an optimized crystal structure of LaMgRe2.

Lattice parameters (Å, degrees): 2.7668 2.7668 9.8158 90.00 90.00 90.00
Fractional coordinates of all 4 atoms:
La 0.0000 0.0000 0.0000
Mg 0.0000 0.0000 0.5000
Re 0.5000 0.5000 0.2771
Re 0.5000 0.5000 0.7229

DOS(E_F)   3.903 states/eV per cell
ΔH_f (0 K)   65.1 kJ per mole of atoms
Total magnetic moment   0.001 μB per cell

No. 22
DFT (PBE-GGA) results for an optimized crystal structure of La2MgRe.

Lattice parameters (Å, degrees): 6.5649 6.5649 6.5649 148.58 132.66 57.93
Fractional coordinates of all 4 atoms:
La 0.0000 0.0000 0.0000
La 0.6939 0.1939 0.5000
Mg 0.3089 0.8089 0.5000
Re 0.4972 0.4972 0.0000

DOS(E_F)   4.285 states/eV per cell
ΔH_f (0 K)   25.4 kJ per mole of atoms
Total magnetic moment   0.002 μB per cell

No. 23
DFT (PBE-GGA) results for an optimized crystal structure of LaMgRe2.

Lattice parameters (Å, degrees): 5.9475 5.9475 5.0703 115.12 115.12 32.16
Fractional coordinates of all 4 atoms:
La 0.0000 0.0000 0.0000
Mg 0.2108 0.2108 0.7107
Re 0.4556 0.4556 0.4557
Re 0.7796 0.7796 0.2798

DOS(E_F)   3.340 states/eV per cell
ΔH_f (0 K)   41.2 kJ per mole of atoms
Total magnetic moment   0.003 μB per cell

No. 24
DFT (PBE-GGA) results for an optimized crystal structure of LaMgRe2.

Lattice parameters (Å, degrees): 3.3845 4.7121 4.8215 90.00 90.00 90.00
Fractional coordinates of all 4 atoms:
La 0.0000 0.0000 0.0000
Mg 0.5000 0.5000 0.0000
Re 0.0000 0.5000 0.5000
Re 0.5000 0.0000 0.5000

DOS(E_F)   4.357 states/eV per cell
ΔH_f (0 K)   70.6 kJ per mole of atoms
Total magnetic moment   0.031 μB per cell

No. 25
DFT (PBE-GGA) results for an optimized crystal structure of LaMgRe2.

Lattice parameters (Å, degrees): 3.1421 3.1421 8.2727 90.00 90.00 90.00
Fractional coordinates of all 4 atoms:
La 0.0000 0.0000 0.0000
Mg 0.5000 0.5000 0.3387
Re 0.0000 0.0000 0.5590
Re 0.5000 0.5000 0.7208

DOS(E_F)   3.383 states/eV per cell
ΔH_f (0 K)   11.3 kJ per mole of atoms
Total magnetic moment   0.000 μB per cell

No. 26
DFT (PBE-GGA) results for an optimized crystal structure of La2MgRe.

Lattice parameters (Å, degrees): 5.5324 5.5324 5.5324 130.14 130.14 73.19
Fractional coordinates of all 4 atoms:
La 0.0000 0.0000 0.0000
La 0.7500 0.2500 0.5000
Mg 0.2500 0.7500 0.5000
Re 0.5000 0.5000 0.0000

DOS(E_F)   5.639 states/eV per cell
ΔH_f (0 K)   36.4 kJ per mole of atoms
Total magnetic moment   0.021 μB per cell